No. 1
Entry from Alexandria via LeMat-Bulk: ReHg2Pb after structural relaxation (PBE-GGA).

Results
density: 15.6 g/cm³
ΔE_f: 0.93 eV per atom
calculated total energy: -3.26 eV/atom
total magnetization: 0.90 μB per formula unit

abc: 5.7385 5.7385 5.7385
angles: 137.80 137.80 61.21
With the nearest neighbours (Å) after each atom.
Element x y z (fractional)
Re (0.0000, 0.0000, 0.0000)  4 Pb 2.92, 8 Hg 3.22
Hg (0.2500, 0.7500, 0.5000)  4 Hg 2.92, 4 Pb 3.22, 4 Re 3.22
Hg (0.7500, 0.2500, 0.5000)  4 Hg 2.92, 4 Pb 3.22, 4 Re 3.22
Pb (0.5000, 0.5000, 0.0000)  4 Re 2.92, 8 Hg 3.22

No. 2
Entry from Alexandria via LeMat-Bulk: InH3Br6 after structural relaxation (PBE-GGA).

Results
density: 3.3 g/cm³
calculated total energy: -2.72 eV/atom
total magnetization: 0.00 μB per formula unit

abc: 8.6365 8.6365 8.6365
angles: 100.94 100.94 100.94
With the nearest neighbours (Å) after each atom.
Element x y z (fractional)
In (0.0000, 0.0000, 0.0000)  6 Br 2.73
In (0.5000, 0.5000, 0.5000)  6 Br 2.73
H (0.0754, 0.3292, 0.3409)  2 Br 1.71-1.73
H (0.3292, 0.3409, 0.0754)  2 Br 1.71-1.73
H (0.3409, 0.0754, 0.3292)  2 Br 1.71-1.73
H (0.6591, 0.9246, 0.6708)  2 Br 1.71-1.73
H (0.6708, 0.6591, 0.9246)  2 Br 1.71-1.73
H (0.9246, 0.6708, 0.6591)  2 Br 1.71-1.73
Br (0.0577, 0.7184, 0.8437)  1 H 1.71
Br (0.1563, 0.9423, 0.2816)  1 H 1.71
Br (0.1953, 0.3844, 0.5364)  1 H 1.73
Br (0.2816, 0.1563, 0.9423)  1 H 1.71
Br (0.3844, 0.5364, 0.1953)  1 H 1.73
Br (0.4636, 0.8047, 0.6156)  1 H 1.73
Br (0.5364, 0.1953, 0.3844)  1 H 1.73
Br (0.6156, 0.4636, 0.8047)  1 H 1.73
Br (0.7184, 0.8437, 0.0577)  1 H 1.71
Br (0.8047, 0.6156, 0.4636)  1 H 1.73
Br (0.8437, 0.0577, 0.7184)  1 H 1.71
Br (0.9423, 0.2816, 0.1563)  1 H 1.71

No. 3
Entry from Alexandria via LeMat-Bulk: NaPaPdSe4 after structural relaxation (PBE-GGA).

Results
density: 6.3 g/cm³
formation energy from raw total energies: -930.6 meV/atom
calculated total energy: -5.21 eV/atom
total magnetization: 0.00 μB per formula unit

abc: 7.2834 5.6524 9.1934
angles: 90.00 110.79 90.00
With the nearest neighbours (Å) after each atom.
Element x y z (fractional)
Na (0.2243, 0.2500, 0.0354)  6 Se 2.99-3.24
Na (0.7757, 0.7500, 0.9646)  6 Se 2.99-3.24
Pa (0.2263, 0.7500, 0.4439)  8 Se 2.77-3.01
Pa (0.7737, 0.2500, 0.5561)  8 Se 2.77-3.01
Pd (0.4243, 0.2500, 0.7002)  4 Se 2.50-2.52
Pd (0.5757, 0.7500, 0.2998)  4 Se 2.50-2.52
Se (0.1480, 0.5120, 0.7066)  1 Pd 2.52, 1 Se 2.69
Se (0.1480, 0.9880, 0.7066)  1 Pd 2.52, 1 Se 2.69
Se (0.2176, 0.7500, 0.1401)  1 Pd 2.50, 1 Pa 2.77
Se (0.3495, 0.2500, 0.4103)  1 Pd 2.52
Se (0.6505, 0.7500, 0.5897)  1 Pd 2.52
Se (0.7824, 0.2500, 0.8599)  1 Pd 2.50, 1 Pa 2.77
Se (0.8520, 0.0120, 0.2934)  1 Pd 2.52, 1 Se 2.69
Se (0.8520, 0.4880, 0.2934)  1 Pd 2.52, 1 Se 2.69

No. 4
Entry from Alexandria via LeMat-Bulk: Ca3NbS after structural relaxation (PBE-GGA).

Results
density: 2.6 g/cm³
formation energy from raw total energies: -128.3 meV/atom
calculated total energy: -4.17 eV/atom
total magnetization: 4.55 μB per formula unit

abc: 5.3867 5.3867 5.3867
angles: 90.00 90.00 90.00
With the nearest neighbours (Å) after each atom.
Element x y z (fractional)
Ca (0.0000, 0.0000, 0.5000)  2 S 2.69
Ca (0.0000, 0.5000, 0.0000)  2 S 2.69
Ca (0.5000, 0.0000, 0.0000)  2 S 2.69
Nb (0.5000, 0.5000, 0.5000)  12 Ca 3.81
S (0.0000, 0.0000, 0.0000)  6 Ca 2.69

No. 5
Entry from Alexandria via LeMat-Bulk: Sr2MgNi3As4 after structural relaxation (PBE-GGA).

Results
density: 6.0 g/cm³
ΔE_f: -0.69 eV per atom
calculated total energy: -4.78 eV/atom
total magnetization: 0.00 μB per formula unit

abc: 4.2895 4.2895 10.2229
angles: 90.00 90.00 90.00
With the nearest neighbours (Å) after each atom.
Element x y z (fractional)
Sr (0.0000, 0.5000, 0.2370)  8 As 3.24-3.25, 7 Ni 3.29-3.56, 2 Mg 3.44
Sr (0.5000, 0.0000, 0.7630)  8 As 3.24-3.25, 7 Ni 3.29-3.56, 2 Mg 3.44
Mg (0.0000, 0.0000, 0.5000)  4 As 2.62
Ni (0.0000, 0.5000, 0.8884)  5 As 2.43-2.46
Ni (0.5000, 0.0000, 0.1116)  5 As 2.43-2.46
Ni (0.5000, 0.5000, 0.5000)  4 As 2.62
As (0.0000, 0.0000, 0.0000)  4 Ni 2.43
As (0.0000, 0.5000, 0.6478)  3 Ni 2.46-2.62, 2 Mg 2.62
As (0.5000, 0.0000, 0.3522)  3 Ni 2.46-2.62, 2 Mg 2.62
As (0.5000, 0.5000, 0.0000)  4 Ni 2.43

No. 6
Entry from Alexandria via LeMat-Bulk: Pm6Si2GeS3 after structural relaxation (PBE-GGA).

Results
density: 6.0 g/cm³
formation energy from raw total energies: -1395.7 meV/atom
calculated total energy: -6.09 eV/atom
total magnetization: 0.00 μB per formula unit

abc: 9.3089 9.3089 8.3325
angles: 103.54 103.54 25.79
With the nearest neighbours (Å) after each atom.
Element x y z (fractional)
Pm (0.0001, 0.0001, 0.2483)  3 S 2.93, 1 Si 2.94, 2 Ge 2.95
Pm (0.9999, 0.9999, 0.7517)  3 S 2.93, 1 Si 2.94, 2 Ge 2.95
Pm (0.3324, 0.3324, 0.4157)  3 S 2.92-2.94, 2 Si 2.94, 1 Ge 2.95
Pm (0.3333, 0.3333, 0.9170)  3 S 2.94, 3 Si 2.94
Pm (0.6667, 0.6667, 0.0830)  3 S 2.94, 3 Si 2.94
Pm (0.6676, 0.6676, 0.5843)  3 S 2.92-2.94, 2 Si 2.94, 1 Ge 2.95
Si (0.1666, 0.1666, 0.8333)  6 Pm 2.94
Si (0.8334, 0.8334, 0.1667)  6 Pm 2.94
Ge (0.5000, 0.5000, 0.5000)  6 Pm 2.95
S (0.1666, 0.1666, 0.3333)  6 Pm 2.92-2.94
S (0.5000, 0.5000, 0.0000)  6 Pm 2.93-2.94
S (0.8334, 0.8334, 0.6667)  6 Pm 2.92-2.94

No. 7
Entry from Alexandria via LeMat-Bulk: Mg2In2Ni after structural relaxation (PBE-GGA).

Results
density: 5.3 g/cm³
ΔE_f: -0.10 eV per atom
calculated total energy: -2.99 eV/atom
total magnetization: 0.00 μB per formula unit

abc: 11.3293 11.3293 11.3293
angles: 157.61 157.61 31.87
With the nearest neighbours (Å) after each atom.
Element x y z (fractional)
Mg (0.0539, 0.3039, 0.7500)  2 Ni 2.69
Mg (0.3039, 0.0539, 0.2500)  2 Ni 2.69
Mg (0.6961, 0.9461, 0.7500)  2 Ni 2.69
Mg (0.9461, 0.6961, 0.2500)  2 Ni 2.69
In (0.1926, 0.4426, 0.7500)  2 Ni 2.65
In (0.4426, 0.1926, 0.2500)  2 Ni 2.65
In (0.5574, 0.8074, 0.7500)  2 Ni 2.65
In (0.8074, 0.5574, 0.2500)  2 Ni 2.65
Ni (0.3750, 0.6250, 0.7500)  4 In 2.65, 4 Mg 2.69
Ni (0.6250, 0.3750, 0.2500)  4 In 2.65, 4 Mg 2.69

No. 8
Entry from Alexandria via LeMat-Bulk: LiAlIr2F after structural relaxation (PBE-GGA).

Results
density: 11.0 g/cm³
formation energy from raw total energies: -153.8 meV/atom
calculated total energy: -5.20 eV/atom
total magnetization: 0.00 μB per formula unit

abc: 4.5192 4.5192 3.2259
angles: 90.00 90.00 90.00
With the nearest neighbours (Å) after each atom.
Element x y z (fractional)
Li (0.0000, 0.0000, 0.0000)  2 F 1.61
Al (0.5000, 0.5000, 0.0000)  8 Ir 2.78
Ir (0.0000, 0.5000, 0.5000)  2 F 2.26
Ir (0.5000, 0.0000, 0.5000)  2 F 2.26
F (0.0000, 0.0000, 0.5000)  2 Li 1.61